# Fe3CoNi3, relaxed, DFT PBE
data_Fe3CoNi3
_chemical_formula_sum 'Fe12 Co4 Ni12'
_cell_length_a 6.940
_cell_length_b 6.940
_cell_length_c 6.940
_cell_angle_alpha 90.00
_cell_angle_beta 90.00
_cell_angle_gamma 90.00
_symmetry_space_group_name_H-M 'P 21 3'
_symmetry_Int_Tables_number 198
_symmetry_space_group_name_Hall 'P 2ac 2ab 3'
loop_
_atom_site_label
_atom_site_type_symbol
_atom_site_fract_x
_atom_site_fract_y
_atom_site_fract_z
Fe1 Fe 0.044 0.321 0.868
Co1 Co 0.140 0.640 0.860
Ni1 Ni 0.033 0.467 0.533
Ni2 Ni 0.156 0.844 0.344
Ni3 Ni 0.167 0.167 0.167
# Calculated formation energy in meV per atom: 163

***

# LaY2Sb2, relaxed, DFT PBE
data_LaY2Sb2
_chemical_formula_sum 'La2 Y4 Sb4'
_cell_length_a 8.470
_cell_length_b 8.470
_cell_length_c 4.114
_cell_angle_alpha 90.00
_cell_angle_beta 90.00
_cell_angle_gamma 90.00
_symmetry_space_group_name_H-M 'P 4/m b m'
_symmetry_Int_Tables_number 127
_symmetry_space_group_name_Hall '-P 4 2ab'
loop_
_atom_site_label
_atom_site_type_symbol
_atom_site_fract_x
_atom_site_fract_y
_atom_site_fract_z
La1 La 0.000 0.000 0.000
Y1 Y 0.155 0.345 0.500
Sb1 Sb 0.143 0.643 0.000
# Formation energy (no corrections) in eV per formula unit: -4.8
# Distance to the lowest polymorph of the same formula in eV per atom: 0.000

***

# ErThGaPt, relaxed, DFT PBE
data_ErThGaPt
_chemical_formula_sum 'Er2 Th2 Ga2 Pt2'
_cell_length_a 4.461
_cell_length_b 3.992
_cell_length_c 10.736
_cell_angle_alpha 90.00
_cell_angle_beta 90.00
_cell_angle_gamma 90.00
_symmetry_space_group_name_H-M 'A m m 2'
_symmetry_Int_Tables_number 38
loop_
_symmetry_equiv_pos_as_xyz
'x,y,z'
'-x,-y,z'
'-x,y,z'
'x,-y,z'
'x,y+1/2,z+1/2'
'-x,-y+1/2,z+1/2'
'-x,y+1/2,z+1/2'
'x,-y+1/2,z+1/2'
loop_
_atom_site_label
_atom_site_type_symbol
_atom_site_fract_x
_atom_site_fract_y
_atom_site_fract_z
Er1 Er 0.000 0.000 0.000
Th1 Th 0.500 0.000 0.282
Ga1 Ga 0.000 0.000 0.713
Pt1 Pt 0.500 0.000 0.556
# Distance to the lowest polymorph of the same formula in eV per atom: 0.000
# Calculated formation energy in meV per atom: -879

***

# MgHgRu, relaxed, DFT PBE
data_MgHgRu
_chemical_formula_sum 'Mg4 Hg4 Ru4'
_cell_length_a 6.325
_cell_length_b 6.325
_cell_length_c 6.325
_cell_angle_alpha 90.00
_cell_angle_beta 90.00
_cell_angle_gamma 90.00
_symmetry_space_group_name_H-M 'F -4 3 m'
_symmetry_Int_Tables_number 216
_symmetry_space_group_name_Hall 'F -4 2 3'
loop_
_atom_site_label
_atom_site_type_symbol
_atom_site_fract_x
_atom_site_fract_y
_atom_site_fract_z
Mg1 Mg 0.000 0.000 0.000
Hg1 Hg 0.000 0.000 0.500
Ru1 Ru 0.250 0.250 0.750
# Distance to the lowest polymorph of the same formula in eV per atom: 0.301
# Calculated formation energy in meV per atom: 515

***

# Dy4HoAl3, relaxed, DFT PBE
data_Dy4HoAl3
_chemical_formula_sum 'Dy8 Ho2 Al6'
_cell_length_a 3.368
_cell_length_b 8.575
_cell_length_c 14.730
_cell_angle_alpha 90.00
_cell_angle_beta 90.00
_cell_angle_gamma 90.00
_symmetry_space_group_name_H-M 'I m m m'
_symmetry_Int_Tables_number 71
_symmetry_space_group_name_Hall '-I 2 2'
loop_
_atom_site_label
_atom_site_type_symbol
_atom_site_fract_x
_atom_site_fract_y
_atom_site_fract_z
Dy1 Dy 0.000 0.197 0.140
Ho1 Ho 0.000 0.500 0.000
Al1 Al 0.000 0.000 0.318
Al2 Al 0.000 0.500 0.500
# Calculated formation energy in meV per atom: -134

***

# SnPd, relaxed, DFT PBE
data_SnPd
_chemical_formula_sum 'Sn4 Pd4'
_cell_length_a 6.039
_cell_length_b 6.039
_cell_length_c 6.039
_cell_angle_alpha 90.00
_cell_angle_beta 90.00
_cell_angle_gamma 90.00
_symmetry_space_group_name_H-M 'F -4 3 m'
_symmetry_Int_Tables_number 216
_symmetry_space_group_name_Hall 'F -4 2 3'
loop_
_atom_site_label
_atom_site_type_symbol
_atom_site_fract_x
_atom_site_fract_y
_atom_site_fract_z
Sn1 Sn 0.000 0.000 0.000
Pd1 Pd 0.250 0.250 0.250
# Calculated formation energy in meV per atom: -29